{
  "formula": "Ho2ScSe",
  "functional": "PBE-GGA",
  "state": "optimized geometry",
  "spacegroup": "R3m",
  "e_form_raw_ev_per_atom": -0.758,
  "de_polymorph_kj_per_mol_atoms": 0.0,
  "magmom_total_mub_per_atom": 0.00,
  "cell": [[-2.8589, 1.3540, 1.9542], [-0.2479, -0.6813, 3.6469], [3.7180, 7.7622, 3.5984]],
  "species": ["Ho", "Ho", "Sc", "Se"],
  "frac_coords": [[0.0694, 0.0694, 0.7917], [0.2642, 0.2642, 0.2074], [0.4996, 0.4996, 0.5013], [0.6668, 0.6668, 0.9996]]
}